No. 1
This record from Alexandria describes Th3MgTl2 after structural relaxation. The functional is PBE.

**Total DFT energy (no corrections)**: -28.4 eV/f.u.
**ΔH_f (0 K)**: 25 meV/atom
**SG**: Ibam
**D(E_F)**: 16.593 states/eV/cell
**Volume**: 30.1 A^3/atom

a = 6.6181 Å, b = 6.5070 Å, c = 9.5831 Å
α = 109.85°, β = 110.20°, γ = 90.00°
Closest atoms and distances in Å follow each position.
Fractional coordinates of all 12 atoms:
1 Tl 0.9120 0.6338 0.2677  2 Mg 3.14, 7 Th 3.21-3.45
2 Th 0.9067 0.1746 0.3492  5 Tl 3.21-3.45
3 Th 0.5000 0.7500 0.0000  2 Th 3.25, 2 Mg 3.31, 4 Tl 3.33
4 Th 0.0933 0.8254 0.6508  5 Tl 3.21-3.45
5 Tl 0.0880 0.3662 0.7323  2 Mg 3.14, 7 Th 3.21-3.45
6 Tl 0.6443 0.8662 0.7323  2 Mg 3.14, 7 Th 3.21-3.45
7 Mg 0.0000 0.2500 0.0000  4 Tl 3.14, 2 Mg 3.25, 2 Th 3.31
8 Th 0.4425 0.6746 0.3492  5 Tl 3.21-3.45
9 Tl 0.3557 0.1338 0.2677  2 Mg 3.14, 7 Th 3.21-3.45
10 Th 0.5575 0.3254 0.6508  5 Tl 3.21-3.45
11 Th 0.5000 0.2500 0.0000  2 Th 3.25, 2 Mg 3.31, 4 Tl 3.33
12 Mg 0.0000 0.7500 0.0000  4 Tl 3.14, 2 Mg 3.25, 2 Th 3.31



No. 2
This record from Alexandria describes Th2MgTl after structural relaxation. The functional is PBE.

**Total DFT energy (no corrections)**: -18.0 eV/f.u.
**ΔH_f (0 K)**: 212 meV/atom
**SG**: R-3m
**D(E_F)**: 3.173 states/eV/cell
**Volume**: 30.6 A^3/atom

a = 3.3674 Å, b = 3.3674 Å, c = 12.6274 Å
α = 82.34°, β = 82.34°, γ = 60.00°
Closest atoms and distances in Å follow each position.
Fractional coordinates of all 4 atoms:
1 Tl 0.5000 0.5000 0.5000  6 Tl 3.37, 6 Th 3.49
2 Mg 0.0000 0.0000 0.0000  2 Th 3.34, 6 Mg 3.37
3 Th 0.0893 0.0893 0.7322  1 Mg 3.34, 6 Th 3.37, 3 Tl 3.49
4 Th 0.9107 0.9107 0.2678  1 Mg 3.34, 6 Th 3.37, 3 Tl 3.49



No. 3
This record from Alexandria describes ThMg3Tl after structural relaxation. The functional is PBE.

**Total DFT energy (no corrections)**: -14.3 eV/f.u.
**ΔH_f (0 K)**: 57 meV/atom
**SG**: Cmmm
**D(E_F)**: 8.647 states/eV/cell
**Volume**: 26.7 A^3/atom

a = 3.6053 Å, b = 5.1541 Å, c = 14.6126 Å
α = 100.16°, β = 90.00°, γ = 90.00°
Closest atoms and distances in Å follow each position.
Fractional coordinates of all 10 atoms:
1 Mg 0.0000 0.7285 0.4570  2 Mg 2.86, 1 Tl 2.88
2 Tl 0.0000 0.3718 0.7435  3 Mg 2.88-2.91
3 Th 0.5000 0.8314 0.6629  4 Tl 3.35, 8 Mg 3.47-3.66, 2 Th 3.61
4 Tl 0.0000 0.6282 0.2565  3 Mg 2.88-2.91
5 Mg 0.0000 0.9422 0.8844  5 Mg 3.16-3.33, 2 Tl 3.28
6 Mg 0.0000 0.0578 0.1156  5 Mg 3.16-3.33, 2 Tl 3.28
7 Th 0.5000 0.1686 0.3371  4 Tl 3.35, 8 Mg 3.47-3.66, 2 Th 3.61
8 Mg 0.0000 0.2715 0.5430  2 Mg 2.86, 1 Tl 2.88
9 Mg 0.5000 0.4511 0.9021  1 Mg 2.82, 2 Tl 2.91
10 Mg 0.5000 0.5489 0.0979  1 Mg 2.82, 2 Tl 2.91



No. 4
This record from Alexandria describes Th4MgTl5 after structural relaxation. The functional is PBE.

**Total DFT energy (no corrections)**: -42.5 eV/f.u.
**ΔH_f (0 K)**: 64 meV/atom
**SG**: I4
**D(E_F)**: 9.430 states/eV/cell
**Volume**: 30.1 A^3/atom

a = 6.4273 Å, b = 7.5599 Å, c = 7.5599 Å
α = 79.59°, β = 64.84°, γ = 64.84°
Closest atoms and distances in Å follow each position.
Fractional coordinates of all 10 atoms:
1 Tl 0.7272 0.1196 0.3425  1 Mg 2.95, 2 Th 3.20-3.27, 1 Tl 3.21
2 Th 0.4017 0.3835 0.7280  6 Tl 3.20-3.43, 1 Th 3.50
3 Tl 0.1893 0.8804 0.6575  1 Mg 2.95, 2 Th 3.20-3.27, 1 Tl 3.21
4 Th 0.7852 0.7280 0.6165  6 Tl 3.20-3.43, 1 Th 3.50
5 Th 0.1296 0.2720 0.3835  6 Tl 3.20-3.43, 1 Th 3.50
6 Mg 0.2064 0.0000 0.0000  5 Tl 2.80-2.95
7 Tl 0.0697 0.6575 0.1196  1 Mg 2.95, 2 Th 3.20-3.27, 1 Tl 3.21
8 Tl 0.8468 0.3425 0.8804  1 Mg 2.95, 2 Th 3.20-3.27, 1 Tl 3.21
9 Th 0.5132 0.6165 0.2720  6 Tl 3.20-3.43, 1 Th 3.50
10 Tl 0.6413 0.0000 0.0000  1 Mg 2.80